[1]
Material: TaTe
Method: DFT, PBE
State: optimized geometry

Cell lengths 6.0877, 6.0877, 6.0877 Å; angles 147.94, 133.83, 57.31 degrees
Element x y z (fractional)
Te1 0.8591 0.1091 0.2500
Ta1 0.3576 0.6076 0.2500
Ta2 0.6424 0.3924 0.7500
Te2 0.1409 0.8909 0.7500

Properties
E_tot   -28.81 eV per cell
Formation energy without anion corrections   0.294 eV per atom

[2]
Material: TaTe
Method: DFT, PBE
State: optimized geometry

Cell lengths 3.3828, 3.3828, 10.2881 Å; angles 90.00, 90.00, 120.00 degrees
Element x y z (fractional)
Te1 0.6667 0.3333 0.8222
Ta1 0.6667 0.3333 0.2263
Ta2 0.0000 0.0000 0.0237
Te2 0.0000 0.0000 0.4278

Properties
E_tot   -30.16 eV per cell
Formation energy without anion corrections   -0.043 eV per atom

[3]
Material: TaTe
Method: DFT, PBE
State: optimized geometry

Cell lengths 3.4963, 3.4963, 8.0003 Å; angles 90.00, 90.00, 90.00 degrees
Element x y z (fractional)
Ta1 0.7500 0.7500 0.9080
Ta2 0.2500 0.2500 0.0920
Te1 0.7500 0.7500 0.2895
Te2 0.2500 0.2500 0.7105

Properties
E_tot   -30.35 eV per cell
Formation energy without anion corrections   -0.091 eV per atom

[4]
Material: Ta3Te
Method: DFT, PBE
State: optimized geometry

Cell lengths 5.8294, 5.8294, 4.6003 Å; angles 90.00, 90.00, 99.04 degrees
Element x y z (fractional)
Ta1 0.8657 0.6628 0.2500
Ta2 0.1343 0.3372 0.7500
Ta3 0.3372 0.1343 0.2500
Ta4 0.8616 0.1384 0.2500
Ta5 0.1384 0.8616 0.7500
Ta6 0.6628 0.8657 0.7500
Te1 0.3583 0.6417 0.2500
Te2 0.6417 0.3583 0.7500

Properties
E_tot   -76.43 eV per cell
Formation energy without anion corrections   0.122 eV per atom

[5]
Material: TaTe
Method: DFT, PBE
State: optimized geometry

Cell lengths 5.7071, 5.7071, 2.9105 Å; angles 90.00, 90.00, 90.00 degrees
Element x y z (fractional)
Ta1 0.2500 0.2500 0.9994
Te1 0.7500 0.2500 0.0000
Ta2 0.7500 0.7500 0.0006
Te2 0.2500 0.7500 0.0000

Properties
E_tot   -26.49 eV per cell
Formation energy without anion corrections   0.874 eV per atom

[6]
Material: Ta8Te
Method: DFT, PBE
State: optimized geometry

Cell lengths 6.4451, 6.4451, 6.4451 Å; angles 97.58, 97.58, 137.39 degrees
Element x y z (fractional)
Ta1 0.3343 0.6657 0.0000
Ta2 0.0000 0.3296 0.3296
Ta3 0.6704 0.0000 0.6704
Ta4 0.6657 0.6657 0.3313
Ta5 0.3296 0.0000 0.3296
Ta6 0.3343 0.3343 0.6687
Ta7 0.0000 0.6704 0.6704
Te1 0.0000 0.0000 0.0000
Ta8 0.6657 0.3343 0.0000

Properties
E_tot   -96.44 eV per cell
Formation energy without anion corrections   0.169 eV per atom

[7]
Material: Ta3Te5
Method: DFT, PBE
State: optimized geometry

Cell lengths 6.2467, 6.2467, 4.8519 Å; angles 90.00, 90.00, 109.98 degrees
Element x y z (fractional)
Te1 0.5000 0.0000 0.0000
Te2 0.0000 0.0000 0.0000
Ta1 0.5000 0.5000 0.0000
Te3 0.7286 0.7286 0.5000
Te4 0.0000 0.5000 0.0000
Te5 0.2714 0.2714 0.5000
Ta2 0.2743 0.7257 0.5000
Ta3 0.7257 0.2743 0.5000

Properties
Energy above the lowest structure with this stoichiometry   175 meV per atom
E_tot   -48.43 eV per cell
Formation energy without anion corrections   0.355 eV per atom

[8]
Material: TaTe
Method: DFT, PBE
State: optimized geometry

Cell lengths 12.1079, 12.1079, 3.6281 Å; angles 90.00, 90.00, 90.00 degrees
Element x y z (fractional)
Ta1 0.6261 0.7995 0.5000
Ta2 0.8816 0.5255 0.0000
Te1 0.7169 0.5882 0.5000
Te2 0.4118 0.7169 0.5000
Te3 0.9579 0.2998 0.0000
Te4 0.7002 0.9579 0.0000
Ta3 0.7995 0.3739 0.5000
Te5 0.5882 0.2831 0.5000
Te6 0.2831 0.4118 0.5000
Ta4 0.1184 0.4745 0.0000
Te7 0.2998 0.0421 0.0000
Ta5 0.3739 0.2005 0.5000
Ta6 0.2005 0.6261 0.5000
Ta7 0.5255 0.1184 0.0000
Te8 0.0421 0.7002 0.0000
Ta8 0.4745 0.8816 0.0000

Properties
E_tot   -117.32 eV per cell
Formation energy without anion corrections   0.164 eV per atom

[9]
Material: Ta3Te
Method: DFT, PBE
State: optimized geometry

Cell lengths 3.3304, 3.3304, 8.3791 Å; angles 90.00, 90.00, 120.00 degrees
Element x y z (fractional)
Te1 0.6667 0.3333 0.7500
Ta1 0.0000 0.0000 0.4954
Ta2 0.6667 0.3333 0.2500
Ta3 0.0000 0.0000 0.0046

Properties
E_tot   -37.56 eV per cell
Formation energy without anion corrections   0.286 eV per atom

[10]
Material: Ta3Te
Method: DFT, PBE
State: optimized geometry

Cell lengths 8.7645, 8.7645, 8.7645 Å; angles 21.68, 21.68, 21.68 degrees
Element x y z (fractional)
Te1 0.0000 0.0000 0.0000
Ta1 0.5000 0.5000 0.5000
Ta2 0.2475 0.2475 0.2475
Ta3 0.7525 0.7525 0.7525

Properties
E_tot   -37.45 eV per cell
Formation energy without anion corrections   0.312 eV per atom

[11]
Material: TaTe
Method: DFT, PBE
State: optimized geometry

Cell lengths 8.4989, 10.3062, 9.6412 Å; angles 90.00, 90.00, 90.00 degrees
Element x y z (fractional)
Ta1 0.0000 0.6285 0.0000
Te1 0.7926 0.0000 0.0000
Te2 0.5426 0.2500 0.2500
Ta2 0.7500 0.8785 0.2500
Te3 0.2926 0.0000 0.5000
Ta3 0.2500 0.6215 0.7500
Te4 0.7074 0.5000 0.0000
Ta4 0.7500 0.1215 0.7500
Ta5 0.5000 0.6285 0.5000
Te5 0.7074 0.0000 0.5000
Ta6 0.5000 0.8715 0.0000
Te6 0.9574 0.7500 0.7500
Ta7 0.5000 0.3715 0.5000
Te7 0.9574 0.2500 0.2500
Ta8 0.2500 0.3785 0.2500
Te8 0.0426 0.7500 0.2500
Te9 0.2074 0.0000 0.0000
Te10 0.7926 0.5000 0.5000
Te11 0.4574 0.7500 0.2500
Ta9 0.2500 0.8785 0.7500
Ta10 0.7500 0.6215 0.2500
Te12 0.4574 0.2500 0.7500
Ta11 0.2500 0.1215 0.2500
Te13 0.2074 0.5000 0.5000
Ta12 0.0000 0.8715 0.5000
Ta13 0.7500 0.3785 0.7500
Te14 0.0426 0.2500 0.7500
Te15 0.5426 0.7500 0.7500
Ta14 0.5000 0.1285 0.0000
Ta15 0.0000 0.1285 0.5000
Te16 0.2926 0.5000 0.0000
Ta16 0.0000 0.3715 0.0000

Properties
E_tot   -232.51 eV per cell
Formation energy without anion corrections   0.231 eV per atom

[12]
Material: TaTe5
Method: DFT, PBE
State: optimized geometry

Cell lengths 7.1923, 7.1923, 5.0856 Å; angles 90.00, 90.00, 139.79 degrees
Each line ends with the local moment (μB).
Element x y z (fractional)
Te1 0.6364 0.3636 0.5000  0.00
Te2 0.1333 0.8667 0.0000  -0.01
Te3 0.3636 0.6364 0.5000  0.00
Ta1 0.5000 0.5000 0.0000  0.68
Te4 0.8667 0.1333 0.0000  -0.01
Te5 0.0000 0.0000 0.5000  -0.01

Properties
E_tot   -25.19 eV per cell
Formation energy without anion corrections   0.395 eV per atom

[13]
Material: TaTe3
Method: DFT, PBE
State: optimized geometry

Cell lengths 5.8123, 5.8123, 5.8123 Å; angles 90.00, 90.00, 90.00 degrees
Element x y z (fractional)
Te1 0.7500 0.5000 0.0000
Te2 0.5000 0.0000 0.2500
Te3 0.2500 0.5000 0.0000
Ta1 0.5000 0.5000 0.5000
Te4 0.5000 0.0000 0.7500
Te5 0.0000 0.2500 0.5000
Te6 0.0000 0.7500 0.5000
Ta2 0.0000 0.0000 0.0000

Properties
E_tot   -38.82 eV per cell
Formation energy without anion corrections   0.467 eV per atom

[14]
Material: Ta3Te
Method: DFT, PBE
State: optimized geometry

Cell lengths 5.0774, 5.0774, 5.0774 Å; angles 90.00, 90.00, 90.00 degrees
Element x y z (fractional)
Ta1 0.0000 0.5000 0.0000
Ta2 0.5000 0.0000 0.0000
Ta3 0.0000 0.0000 0.5000
Te1 0.0000 0.0000 0.0000

Properties
E_tot   -27.46 eV per cell
Formation energy without anion corrections   2.811 eV per atom

[15]
Material: Ta3Te5
Method: DFT, PBE
State: optimized geometry

Cell lengths 8.4658, 8.4658, 6.1539 Å; angles 90.00, 90.00, 120.00 degrees
Element x y z (fractional)
Te1 0.7348 0.7348 0.2500
Ta1 0.0000 0.6004 0.2500
Ta2 0.6004 0.0000 0.2500
Ta3 0.0000 0.3996 0.7500
Te2 0.7348 0.0000 0.7500
Te3 0.0000 0.2652 0.2500
Ta4 0.3996 0.0000 0.7500
Te4 0.6667 0.3333 0.0000
Te5 0.0000 0.7348 0.7500
Te6 0.6667 0.3333 0.5000
Te7 0.3333 0.6667 0.5000
Te8 0.2652 0.0000 0.2500
Ta5 0.6004 0.6004 0.7500
Ta6 0.3996 0.3996 0.2500
Te9 0.3333 0.6667 0.0000
Te10 0.2652 0.2652 0.7500

Properties
Energy above the lowest structure with this stoichiometry   133 meV per atom
E_tot   -97.53 eV per cell
Formation energy without anion corrections   0.312 eV per atom

[16]
Material: Ta3Te
Method: DFT, PBE
State: optimized geometry

Cell lengths 4.8376, 3.0709, 5.2764 Å; angles 90.07, 90.00, 90.00 degrees
Element x y z (fractional)
Ta1 0.0000 0.0725 0.9841
Te1 0.5000 0.2500 0.2500
Ta2 0.0000 0.4275 0.5159
Ta3 0.5000 0.7500 0.7500

Properties
E_tot   -37.70 eV per cell
Formation energy without anion corrections   0.249 eV per atom

[17]
Material: Ta3Te
Method: DFT, PBE
State: optimized geometry

Cell lengths 4.9176, 5.4105, 5.8594 Å; angles 90.00, 90.00, 90.00 degrees
Element x y z (fractional)
Ta1 0.0000 0.1667 0.2639
Ta2 0.5000 0.8333 0.7639
Ta3 0.5000 0.8333 0.2361
Te1 0.5000 0.3689 0.5000
Te2 0.0000 0.6311 0.0000
Ta4 0.0000 0.7172 0.5000
Ta5 0.0000 0.1667 0.7361
Ta6 0.5000 0.2828 0.0000

Properties
E_tot   -75.29 eV per cell
Formation energy without anion corrections   0.264 eV per atom

[18]
Material: Ta7Te6
Method: DFT, PBE
State: optimized geometry

Cell lengths 10.5607, 10.5607, 10.5607 Å; angles 32.01, 32.01, 32.01 degrees
Element x y z (fractional)
Ta1 0.0939 0.5732 0.5732
Te1 0.1794 0.1794 0.1794
Ta2 0.4268 0.9061 0.4268
Ta3 0.9061 0.4268 0.4268
Ta4 0.5000 0.5000 0.5000
Te2 0.0631 0.0631 0.0631
Te3 0.6681 0.6681 0.6681
Te4 0.8206 0.8206 0.8206
Ta5 0.5732 0.0939 0.5732
Te5 0.3319 0.3319 0.3319
Te6 0.9369 0.9369 0.9369
Ta6 0.4268 0.4268 0.9061
Ta7 0.5732 0.5732 0.0939

Properties
E_tot   -99.65 eV per cell
Formation energy without anion corrections   0.167 eV per atom

[19]
Material: TaTe5
Method: DFT, PBE
State: optimized geometry

Cell lengths 3.4193, 3.4193, 14.6346 Å; angles 90.00, 90.00, 90.00 degrees
Element x y z (fractional)
Te1 0.0000 0.0000 0.8834
Te2 0.5000 0.5000 0.6462
Ta1 0.5000 0.5000 0.0000
Te3 0.5000 0.5000 0.3538
Te4 0.0000 0.0000 0.5000
Te5 0.0000 0.0000 0.1166

Properties
E_tot   -26.73 eV per cell
Formation energy without anion corrections   0.139 eV per atom

[20]
Material: TaTe5
Method: DFT, PBE
State: optimized geometry

Cell lengths 9.3816, 9.3816, 5.8859 Å; angles 90.00, 90.00, 156.04 degrees
Element x y z (fractional)
Te1 0.7825 0.2175 0.5000
Te2 0.6479 0.3521 0.0000
Te3 0.4282 0.5718 0.0000
Te4 0.0334 0.9666 0.5000
Te5 0.3975 0.6025 0.5000
Ta1 0.0438 0.9562 0.0000

Properties
E_tot   -27.37 eV per cell
Formation energy without anion corrections   0.032 eV per atom